Compound: As2HWBr
Source: the Alexandria database
Functional: PBE
Structure: relaxed

a b c (Å): 4.019 4.019 5.018
angles (deg): 90.00 90.00 90.00
Site moments in Bohr magnetons follow the coordinates.
Element x y z (fractional)
H  0.000  0.000  0.000  -0.01
As  0.000  0.500  0.000  -0.09
As  0.500  0.000  0.000  -0.09
Br  0.000  0.000  0.500  -0.03
W  0.500  0.500  0.500  2.10

Output
E	-4.384	eV per atom
energy above the most stable polymorph in this dataset	281	meV per atom